Record 1
The following is a DFT calculation (PBE) of a relaxed structure of CsBa2Te.

abc: 13.7159 13.7159 13.7159
angles: 20.04 20.04 20.04
With the nearest neighbours (Å) after each atom.
Element x y z (fractional)
Cs1 0.0000 0.0000 0.0000  2 Ba 4.61, 6 Cs 4.77
Ba1 0.1144 0.1144 0.1144  3 Te 3.47
Ba2 0.8856 0.8856 0.8856  3 Te 3.47
Te1 0.5000 0.5000 0.5000  6 Ba 3.47

Summary:
Uncorrected formation energy   -0.73 eV per atom
Density of states at the Fermi level   0.91 states/eV per atom
V   265.05 Å³/cell

Record 2
The following is a DFT calculation (PBE) of a relaxed structure of CsBa2Te.

abc: 13.3377 13.3377 13.3377
angles: 20.86 20.86 20.86
With the nearest neighbours (Å) after each atom.
Element x y z (fractional)
Cs1 0.0000 0.0000 0.0000  6 Cs 4.83, 6 Ba 5.23-5.25
Ba1 0.5531 0.5531 0.5531  3 Te 3.48
Ba2 0.7798 0.7798 0.7798  3 Te 3.48
Te1 0.1664 0.1664 0.1664  6 Ba 3.48

Summary:
Uncorrected formation energy   -0.76 eV per atom
Density of states at the Fermi level   1.01 states/eV per atom
V   263.31 Å³/cell

Record 3
The following is a DFT calculation (PBE) of a relaxed structure of Cs2BaTe.

abc: 10.2397 10.2397 10.2397
angles: 96.27 96.27 141.42
With the nearest neighbours (Å) after each atom.
Element x y z (fractional)
Cs1 0.3750 0.2419 0.3669  2 Te 3.87
Cs2 0.7581 0.1250 0.1331  2 Te 3.87
Cs3 0.8750 0.0081 0.6331  2 Te 3.87
Cs4 0.9919 0.6250 0.8669  2 Te 3.87
Ba1 0.2500 0.7500 0.5000  2 Te 3.38
Ba2 0.5000 0.5000 0.0000  2 Te 3.38
Te1 0.0000 0.0000 0.0000  2 Ba 3.38
Te2 0.7500 0.2500 0.5000  2 Ba 3.38

Summary:
Uncorrected formation energy   -0.61 eV per atom
Density of states at the Fermi level   0.36 states/eV per atom
V   631.96 Å³/cell

Record 4
The following is a DFT calculation (PBE) of a relaxed structure of Cs2Ba2Te.

abc: 12.9651 12.9651 12.9651
angles: 156.49 156.49 33.49
With the nearest neighbours (Å) after each atom.
Element x y z (fractional)
Cs1 0.0733 0.0733 0.0000  1 Cs 3.64
Cs2 0.9267 0.9267 0.0000  1 Cs 3.64
Ba1 0.2500 0.7500 0.5000  4 Ba 3.74
Ba2 0.7500 0.2500 0.5000  4 Ba 3.74
Te1 0.5000 0.5000 0.0000  8 Cs 4.16

Summary:
Uncorrected formation energy   -0.10 eV per atom
Density of states at the Fermi level   1.56 states/eV per atom
V   346.55 Å³/cell